1.
Here is a relaxed structure of UInCuTe3 from the Open Quantum Materials Database. Energies are from PBE.

abc: 8.063 8.063 11.197
angles: 90.00 90.00 149.65
Fractional positions:
Cu1 0.968 0.032 0.250
Cu2 0.032 0.968 0.750
Te1 0.864 0.136 0.437
Te2 0.136 0.864 0.563
Te3 0.574 0.426 0.250
Te4 0.864 0.136 0.063
Te5 0.426 0.574 0.750
Te6 0.136 0.864 0.937
In1 0.256 0.744 0.250
In2 0.744 0.256 0.750
U1 0.500 0.500 0.000
U2 0.500 0.500 0.500

Calculated values
Energy   -4.9522 eV per atom
Space-group type   Cmcm
Magnetization   4.0 μB/cell

2.
Here is a relaxed structure of PrErU from the Open Quantum Materials Database. Energies are from PBE.

abc: 5.283 5.283 5.283
angles: 60.00 60.00 60.00
Fractional positions:
Er1 0.250 0.250 0.250
U1 0.000 0.000 0.000
Pr1 0.750 0.750 0.750

Calculated values
Formation energy from the elements   1.257 eV/atom
Space-group type   F-43m
Offset from the most stable computed form   0 meV/atom
Magnetization   4.3 μB/cell

3.
Here is a relaxed structure of GdScPt from the Open Quantum Materials Database. Energies are from PBE.

abc: 6.690 4.727 8.713
angles: 90.00 90.00 90.00
Fractional positions:
Pt1 0.281 0.750 0.910
Pt2 0.781 0.750 0.590
Pt3 0.219 0.250 0.410
Pt4 0.719 0.250 0.090
Gd1 0.155 0.250 0.086
Gd2 0.345 0.750 0.586
Gd3 0.845 0.750 0.914
Gd4 0.655 0.250 0.414
Sc1 0.006 0.250 0.670
Sc2 0.506 0.250 0.830
Sc3 0.494 0.750 0.170
Sc4 0.994 0.750 0.330

Calculated values
Formation energy from the elements   -0.880 eV/atom
Space-group type   Pnma
Offset from the most stable computed form   0 meV/atom
Magnetization   0.0 μB/cell

4.
Here is a relaxed structure of K2LiTcCl6 from the Open Quantum Materials Database. Energies are from PBE.

abc: 6.938 6.938 6.938
angles: 119.93 119.93 90.13
Fractional positions:
Cl1 0.744 0.744 0.000
Cl2 0.744 0.256 0.000
Cl3 0.256 0.744 0.000
Cl4 0.744 0.744 0.488
Cl5 0.256 0.256 0.000
Cl6 0.256 0.256 0.512
K1 0.750 0.250 0.500
K2 0.250 0.750 0.500
Li1 0.000 0.000 0.000
Tc1 0.500 0.500 0.000

Calculated values
Space-group type   I4/mmm
Offset from the most stable computed form   2 meV/atom
Magnetization   2.0 μB/cell

5.
Here is a relaxed structure of HfGe2Os from the Open Quantum Materials Database. Energies are from PBE.

abc: 4.581 4.581 4.581
angles: 60.00 60.00 60.00
Fractional positions:
Ge1 0.000 0.000 0.000
Ge2 0.750 0.750 0.750
Os1 0.500 0.500 0.500
Hf1 0.250 0.250 0.250

Calculated values
Energy   -7.6992 eV per atom
Space-group type   F-43m
Magnetization   0.0 μB/cell

6.
Here is a relaxed structure of AuC8 from the Open Quantum Materials Database. Energies are from PBE.

abc: 11.373 10.825 4.936
angles: 83.45 71.00 25.54
Fractional positions:
C1 0.292 0.958 0.541
C2 0.207 0.541 0.460
C3 0.958 0.292 0.209
C4 0.792 0.460 0.541
C5 0.541 0.209 0.292
C6 0.958 0.292 0.709
C7 0.709 0.043 0.458
C8 0.292 0.958 0.041
C9 0.541 0.207 0.792
C10 0.709 0.041 0.958
C11 0.790 0.458 0.043
C12 0.041 0.709 0.292
C13 0.460 0.792 0.207
C14 0.043 0.709 0.790
C15 0.209 0.541 0.958
C16 0.458 0.790 0.709
Au1 0.000 0.000 0.000
Au2 0.250 0.250 0.250

Calculated values
Space-group type   Fddd
Offset from the most stable computed form   14 meV/atom

7.
Here is a relaxed structure of Ag2As2O5 from the Open Quantum Materials Database. Energies are from PBE.

abc: 10.010 3.346 3.346
angles: 90.00 90.00 90.00
Fractional positions:
O1 0.885 0.000 0.500
O2 0.115 0.500 0.000
O3 0.885 0.500 0.000
O4 0.115 0.000 0.500
O5 0.500 0.500 0.500
Ag1 0.723 0.500 0.500
Ag2 0.277 0.500 0.500
As1 0.000 0.000 0.000
As2 0.500 0.000 0.000

Calculated values
Space-group type   P4/mmm
Offset from the most stable computed form   574 meV/atom

8.
Here is a relaxed structure of Pa2AsO4 from the Open Quantum Materials Database. Energies are from PBE.

abc: 7.302 7.302 7.302
angles: 119.95 90.08 119.95
Fractional positions:
O1 0.154 0.691 0.845
O2 0.596 0.809 0.405
O3 0.155 0.309 0.846
O4 0.596 0.191 0.786
O5 0.214 0.809 0.404
O6 0.595 0.191 0.404
O7 0.536 0.691 0.846
O8 0.154 0.309 0.464
As1 0.000 0.000 0.000
As2 0.750 0.500 0.250
Pa1 0.375 0.750 0.625
Pa2 0.375 0.250 0.625
Pa3 0.375 0.750 0.125
Pa4 0.875 0.250 0.625

Calculated values
Energy   -7.9564 eV per atom
Space-group type   I4_1/amd
Magnetization   4.0 μB/cell

9.
Here is a relaxed structure of Dy2Er5Ga from the Open Quantum Materials Database. Energies are from PBE.

abc: 5.452 6.978 6.978
angles: 59.94 90.00 90.00
Fractional positions:
Er1 0.000 0.671 0.159
Er2 0.500 0.329 0.843
Er3 0.000 0.159 0.671
Er4 0.500 0.843 0.329
Er5 0.500 0.834 0.834
Dy1 0.500 0.328 0.328
Dy2 0.000 0.671 0.671
Ga1 0.000 0.166 0.166

Calculated values
Energy   -4.4329 eV per atom
Space-group type   Amm2
Magnetization   0.3 μB/cell

10.
Here is a relaxed structure of Lu2Zr2O5 from the Open Quantum Materials Database. Energies are from PBE.

abc: 7.398 4.094 4.094
angles: 90.00 90.00 90.00
Fractional positions:
O1 0.500 0.500 0.500
O2 0.271 0.500 0.000
O3 0.729 0.000 0.500
O4 0.729 0.500 0.000
O5 0.271 0.000 0.500
Lu1 0.500 0.000 0.000
Lu2 0.000 0.000 0.000
Zr1 0.781 0.500 0.500
Zr2 0.219 0.500 0.500

Calculated values
Space-group type   P4/mmm
Offset from the most stable computed form   268 meV/atom
Magnetization   0.0 μB/cell

11.
Here is a relaxed structure of LuNbPt from the Open Quantum Materials Database. Energies are from PBE.

abc: 4.570 4.570 4.570
angles: 60.00 60.00 60.00
Fractional positions:
Nb1 0.250 0.250 0.250
Pt1 0.750 0.750 0.750
Lu1 0.000 0.000 0.000

Calculated values
Formation energy from the elements   0.517 eV/atom
Space-group type   F-43m
Offset from the most stable computed form   833 meV/atom
Magnetization   2.2 μB/cell

12.
Here is a relaxed structure of Nb2Al from the Open Quantum Materials Database. Energies are from PBE.

abc: 5.428 5.428 5.428
angles: 60.00 60.00 60.00
Fractional positions:
Al1 0.000 0.000 0.000
Al2 0.250 0.250 0.250
Nb1 0.625 0.625 0.625
Nb2 0.125 0.625 0.625
Nb3 0.625 0.625 0.125
Nb4 0.625 0.125 0.625

Calculated values
Energy   -7.6999 eV per atom
Space-group type   Fd-3m
Magnetization   0.0 μB/cell